Run one
Density functional theory data (PBE-GGA) for a geometry-optimized ScSbTeN2 structure.

- Calculated density: 5.34 g/cm3
- Crystal system: tetragonal

a b c (Å): 4.104 4.104 5.954
angles (deg): 90.00 90.00 90.00
Space group P4/mmm (No. 123)
Symmetry-distinct sites (fractional):
Sc (0.000, 0.000, 0.000)
Sb (0.500, 0.500, 0.500)
Te (0.500, 0.500, 0.000)
N (0.000, 0.500, 0.500)

***

Run two
Density functional theory data (PBE-GGA) for a geometry-optimized ScSbTeN2 structure.

- Calculated density: 4.97 g/cm3
- Crystal system: tetragonal

a b c (Å): 4.313 4.313 5.793
angles (deg): 90.00 90.00 90.00
Space group P4/mmm (No. 123)
Symmetry-distinct sites (fractional):
Sc (0.000, 0.000, 0.000)
Sb (0.500, 0.500, 0.500)
Te (0.000, 0.000, 0.500)
N (0.000, 0.500, 0.000)

***

Least stable structure: run one

***

Run one
Density functional theory data (PBE-GGA) for a geometry-optimized ScSb2TeN structure.

- Calculated density: 4.28 g/cm3
- Crystal system: tetragonal

a b c (Å): 5.514 5.514 5.484
angles (deg): 90.00 90.00 90.00
Space group P4/mmm (No. 123)
Symmetry-distinct sites (fractional):
Sc (0.000, 0.000, 0.000)
Sb (0.000, 0.500, 0.000)
Te (0.000, 0.000, 0.500)
N (0.500, 0.500, 0.500)

***

Run two
Density functional theory data (PBE-GGA) for a geometry-optimized ScSb2TeN structure.

- Calculated density: 6.67 g/cm3
- Crystal system: tetragonal

a b c (Å): 4.744 4.744 4.756
angles (deg): 90.00 90.00 90.00
Space group P4/mmm (No. 123)
Symmetry-distinct sites (fractional):
Sc (0.000, 0.000, 0.000)
Sb (0.000, 0.500, 0.500)
Te (0.500, 0.500, 0.000)
N (0.500, 0.500, 0.500)

***

Least stable structure: run one

***

Run one
Density functional theory data (PBE-GGA) for a geometry-optimized Zr2ScSbN structure.

- Calculated density: 6.60 g/cm3
- Crystal system: tetragonal

a b c (Å): 4.566 4.566 4.383
angles (deg): 90.00 90.00 90.00
Space group P4/mmm (No. 123)
Symmetry-distinct sites (fractional):
Zr (0.000, 0.500, 0.000)
Sc (0.000, 0.000, 0.500)
Sb (0.500, 0.500, 0.500)
N (0.000, 0.000, 0.000)

***

Run two
Density functional theory data (PBE-GGA) for a geometry-optimized Zr2ScSbN structure.

- Calculated density: 4.81 g/cm3
- Crystal system: tetragonal

a b c (Å): 5.530 5.530 4.103
angles (deg): 90.00 90.00 90.00
Space group P4/mmm (No. 123)
Symmetry-distinct sites (fractional):
Zr (0.000, 0.500, 0.000)
Sc (0.000, 0.000, 0.500)
Sb (0.500, 0.500, 0.000)
N (0.500, 0.500, 0.500)

***

Least stable structure: run two

***

Run one
Density functional theory data (PBE-GGA) for a geometry-optimized Sb2SeN structure.

- Calculated density: 5.36 g/cm3
- Crystal system: tetragonal

a b c (Å): 6.027 6.027 11.490
angles (deg): 90.00 90.00 90.00
Space group I-42d (No. 122)
Symmetry-distinct sites (fractional):
Sb (0.159, 0.250, 0.125)
Se (0.000, 0.000, 0.500)
N (0.000, 0.000, 0.000)

***

Run two
Density functional theory data (PBE-GGA) for a geometry-optimized Sb2SeN structure.

- Calculated density: 7.16 g/cm3
- Crystal system: cubic

a b c (Å): 6.784 6.784 6.784
angles (deg): 90.00 90.00 90.00
Space group Fm-3m (No. 225)
Symmetry-distinct sites (fractional):
Sb (0.250, 0.250, 0.250)
Se (0.000, 0.000, 0.000)
N (0.000, 0.000, 0.500)

***

Least stable structure: run two

***

Run one
Density functional theory data (PBE-GGA) for a geometry-optimized SbSeN structure.

- Calculated density: 5.14 g/cm3
- Crystal system: tetragonal

a b c (Å): 3.791 3.791 9.654
angles (deg): 90.00 90.00 90.00
Space group P4/nmm (No. 129, origin choice 2)
Symmetry-distinct sites (fractional):
Sb (0.250, 0.250, 0.112)
Se (0.250, 0.250, 0.534)
N (0.250, 0.750, 0.000)

***

Run two
Density functional theory data (PBE-GGA) for a geometry-optimized SbSeN structure.

- Calculated density: 3.09 g/cm3
- Crystal system: monoclinic

a b c (Å): 10.045 5.036 9.135
angles (deg): 90.00 92.68 90.00
Space group P2_1/c (No. 14)
Symmetry-distinct sites (fractional):
Sb (0.081, 0.175, 0.100)
Se (0.147, 0.686, 0.805)
N (0.457, 0.014, 0.036)

***

Least stable structure: run one

***

Run one
Density functional theory data (PBE-GGA) for a geometry-optimized SbSe2N structure.

- Calculated density: 5.64 g/cm3
- Crystal system: tetragonal

a b c (Å): 6.492 6.492 8.205
angles (deg): 90.00 90.00 90.00
Space group I-42d (No. 122)
Symmetry-distinct sites (fractional):
Sb (0.000, 0.000, 0.000)
Se (0.161, 0.250, 0.625)
N (0.000, 0.000, 0.500)

***

Run two
Density functional theory data (PBE-GGA) for a geometry-optimized SbSe2N structure.

- Calculated density: 4.79 g/cm3
- Crystal system: trigonal

a b c (Å): 3.9858 3.9858 22.1793
angles (deg): 90.00 90.00 120.00
Space group R-3m (No. 166, hexagonal axes)
Symmetry-distinct sites (fractional):
Sb (0.0000, 0.0000, 0.0000)
Se (0.0000, 0.0000, 0.4206)
N (0.0000, 0.0000, 0.5000)

***

Least stable structure: run one

***

Run one
Density functional theory data (PBE-GGA) for a geometry-optimized SbSe2N structure.

- Calculated density: 4.54 g/cm3
- Crystal system: monoclinic

a b c (Å): 33.164 3.793 3.417
angles (deg): 90.00 92.76 90.00
Space group C2/m (No. 12)
Symmetry-distinct sites (fractional):
Sb (0.115, 0.000, 0.286)
Se (0.059, 0.500, 0.260)
Se (0.239, 0.500, 0.268)
N (0.147, 0.000, 0.801)

***

Run two
Density functional theory data (PBE-GGA) for a geometry-optimized SbSe2N structure.

- Calculated density: 6.03 g/cm3
- Crystal system: trigonal

a b c (Å): 3.3024 3.3024 25.6893
angles (deg): 90.00 90.00 120.00
Space group R-3m (No. 166, hexagonal axes)
Symmetry-distinct sites (fractional):
Sb (0.0000, 0.0000, 0.0000)
Se (0.0000, 0.0000, 0.1121)
N (0.0000, 0.0000, 0.5000)

***

Least stable structure: run two

***

Run one
Density functional theory data (PBE-GGA) for a geometry-optimized SbSe2N2 structure.

- Calculated density: 4.95 g/cm3
- Crystal system: tetragonal

a b c (Å): 3.940 3.940 6.643
angles (deg): 90.00 90.00 90.00
Space group P4/mmm (No. 123)
Symmetry-distinct sites (fractional):
Sb (0.000, 0.000, 0.000)
Se (0.000, 0.000, 0.500)
Se (0.500, 0.500, 0.500)
N (0.000, 0.500, 0.000)

***

Run two
Density functional theory data (PBE-GGA) for a geometry-optimized SbSe2N2 structure.

- Calculated density: 6.16 g/cm3
- Crystal system: tetragonal

a b c (Å): 4.010 4.010 5.159
angles (deg): 90.00 90.00 90.00
Space group P4/mmm (No. 123)
Symmetry-distinct sites (fractional):
Sb (0.000, 0.000, 0.000)
Se (0.500, 0.500, 0.000)
Se (0.500, 0.500, 0.500)
N (0.000, 0.500, 0.500)

***

Least stable structure: run two

***

Run one
Density functional theory data (PBE-GGA) for a geometry-optimized SbSe2N2 structure.

- Calculated density: 4.28 g/cm3
- Crystal system: tetragonal

a b c (Å): 5.403 5.403 4.087
angles (deg): 90.00 90.00 90.00
Space group P4/mmm (No. 123)
Symmetry-distinct sites (fractional):
Sb (0.000, 0.000, 0.000)
Se (0.000, 0.500, 0.000)
N (0.000, 0.000, 0.500)
N (0.500, 0.500, 0.500)

***

Run two
Density functional theory data (PBE-GGA) for a geometry-optimized SbSe2N2 structure.

- Calculated density: 6.53 g/cm3
- Crystal system: tetragonal

a b c (Å): 4.260 4.260 4.314
angles (deg): 90.00 90.00 90.00
Space group P4/mmm (No. 123)
Symmetry-distinct sites (fractional):
Sb (0.000, 0.000, 0.000)
Se (0.000, 0.500, 0.500)
N (0.500, 0.500, 0.000)
N (0.500, 0.500, 0.500)

***

Run three
Density functional theory data (PBE-GGA) for a geometry-optimized SbSe2N2 structure.

- Calculated density: 5.26 g/cm3
- Crystal system: tetragonal

a b c (Å): 5.021 5.021 7.709
angles (deg): 90.00 90.00 90.00
Space group I4/mmm (No. 139)
Symmetry-distinct sites (fractional):
Sb (0.000, 0.000, 0.000)
Se (0.000, 0.500, 0.250)
N (0.000, 0.000, 0.427)

***

Run four
Density functional theory data (PBE-GGA) for a geometry-optimized SbSe2N2 structure.

- Calculated density: 3.34 g/cm3
- Crystal system: monoclinic

a b c (Å): 6.729 3.879 11.717
angles (deg): 90.00 91.99 90.00
Space group C2/m (No. 12)
Symmetry-distinct sites (fractional):
Sb (0.000, 0.000, 0.000)
Se (0.175, 0.500, 0.143)
N (0.056, 0.000, 0.536)

***

Least stable structure: run one

***

Run one
Density functional theory data (PBE-GGA) for a geometry-optimized SnSbSe2N structure.

- Calculated density: 5.87 g/cm3
- Crystal system: tetragonal

a b c (Å): 5.429 5.429 3.957
angles (deg): 90.00 90.00 90.00
Space group P4/mmm (No. 123)
Symmetry-distinct sites (fractional):
Sn (0.000, 0.000, 0.000)
Sb (0.500, 0.500, 0.500)
Se (0.000, 0.500, 0.500)
N (0.500, 0.500, 0.000)

***

Run two
Density functional theory data (PBE-GGA) for a geometry-optimized SnSbSe2N structure.

- Calculated density: 5.91 g/cm3
- Crystal system: tetragonal

a b c (Å): 5.425 5.425 3.935
angles (deg): 90.00 90.00 90.00
Space group P4/mmm (No. 123)
Symmetry-distinct sites (fractional):
Sn (0.000, 0.000, 0.000)
Sb (0.500, 0.500, 0.500)
Se (0.000, 0.500, 0.000)
N (0.000, 0.000, 0.500)

***

Least stable structure: run two

***

Run one
Density functional theory data (PBE-GGA) for a geometry-optimized TcSbSe2N structure.

- Calculated density: 6.64 g/cm3
- Crystal system: tetragonal

a b c (Å): 5.124 5.124 3.733
angles (deg): 90.00 90.00 90.00
Space group P4/mmm (No. 123)
Symmetry-distinct sites (fractional):
Tc (0.000, 0.000, 0.000)
Sb (0.500, 0.500, 0.500)
Se (0.000, 0.500, 0.000)
N (0.000, 0.000, 0.500)

***

Run two
Density functional theory data (PBE-GGA) for a geometry-optimized TcSbSe2N structure.

- Calculated density: 5.79 g/cm3
- Crystal system: tetragonal

a b c (Å): 5.376 5.376 3.886
angles (deg): 90.00 90.00 90.00
Space group P4/mmm (No. 123)
Symmetry-distinct sites (fractional):
Tc (0.000, 0.000, 0.000)
Sb (0.500, 0.500, 0.500)
Se (0.000, 0.500, 0.500)
N (0.500, 0.500, 0.000)

***

Least stable structure: run two

***

Run one
Density functional theory data (PBE-GGA) for a geometry-optimized SbTeSe2N structure.

- Calculated density: 6.03 g/cm3
- Crystal system: tetragonal

a b c (Å): 5.443 5.443 3.914
angles (deg): 90.00 90.00 90.00
Space group P4/mmm (No. 123)
Symmetry-distinct sites (fractional):
Sb (0.000, 0.000, 0.000)
Te (0.500, 0.500, 0.500)
Se (0.000, 0.500, 0.000)
N (0.000, 0.000, 0.500)

***

Run two
Density functional theory data (PBE-GGA) for a geometry-optimized SbTeSe2N structure.

- Calculated density: 5.93 g/cm3
- Crystal system: tetragonal

a b c (Å): 5.465 5.465 3.949
angles (deg): 90.00 90.00 90.00
Space group P4/mmm (No. 123)
Symmetry-distinct sites (fractional):
Sb (0.000, 0.000, 0.000)
Te (0.500, 0.500, 0.500)
Se (0.000, 0.500, 0.500)
N (0.500, 0.500, 0.000)

***

Least stable structure: run two